Record 1
First-principles (GGA-PBE) data for Nb2Fe2Ag after structural relaxation, as listed in Alexandria.

abc: 7.408 7.408 2.851
angles: 90.00 90.00 90.00
Atoms (fractional coordinates):
Nb  0.147  0.353  0.000
Nb  0.353  0.853  0.000
Nb  0.647  0.147  0.000
Nb  0.853  0.647  0.000
Fe  0.145  0.645  0.500
Fe  0.355  0.145  0.500
Fe  0.645  0.855  0.500
Fe  0.855  0.355  0.500
Ag  0.000  0.000  0.000
Ag  0.500  0.500  0.000

Excess energy over the best structure of this formula in the dataset (meV per atom): 214
Magnetic moment (μB per cell): 0.000
Energy of formation (eV/atom): 0.32
Total energy (eV per atom): -7.661
V (Å³ per cell): 156.47
SG: P4/mbm (127)

Record 2
First-principles (GGA-PBE) data for NbFe3Ag after structural relaxation, as listed in Alexandria.

abc: 4.515 4.515 4.515
angles: 90.00 90.00 90.00
Atoms (fractional coordinates):
Nb  0.000  0.000  0.000
Fe  0.000  0.000  0.500
Fe  0.000  0.500  0.000
Fe  0.500  0.000  0.000
Ag  0.500  0.500  0.500

Excess energy over the best structure of this formula in the dataset (meV per atom): 0
Magnetic moment (μB per cell): 5.041
Energy of formation (eV/atom): 1.44
Total energy (eV per atom): -6.223
V (Å³ per cell): 92.04
SG: Pm-3m (221)

Record 3
First-principles (GGA-PBE) data for Nb2Fe2Ag after structural relaxation, as listed in Alexandria.

abc: 7.127 7.127 2.973
angles: 90.00 90.00 90.00
Atoms (fractional coordinates):
Nb  0.160  0.340  0.000
Nb  0.340  0.840  0.000
Nb  0.660  0.160  0.000
Nb  0.840  0.660  0.000
Fe  0.136  0.636  0.500
Fe  0.364  0.136  0.500
Fe  0.636  0.864  0.500
Fe  0.864  0.364  0.500
Ag  0.000  0.000  0.500
Ag  0.500  0.500  0.500

Excess energy over the best structure of this formula in the dataset (meV per atom): 0
Magnetic moment (μB per cell): 0.001
Energy of formation (eV/atom): 0.11
Total energy (eV per atom): -7.875
V (Å³ per cell): 151.03
SG: P4/mbm (127)

Record 4
First-principles (GGA-PBE) data for NbFeAg3 after structural relaxation, as listed in Alexandria.

abc: 4.661 4.661 4.661
angles: 90.00 90.00 90.00
Atoms (fractional coordinates):
Nb  0.000  0.000  0.000
Fe  0.500  0.500  0.500
Ag  0.000  0.500  0.500
Ag  0.500  0.000  0.500
Ag  0.500  0.500  0.000

Excess energy over the best structure of this formula in the dataset (meV per atom): 0
Magnetic moment (μB per cell): 0.000
Energy of formation (eV/atom): 1.56
Total energy (eV per atom): -3.858
V (Å³ per cell): 101.25
SG: Pm-3m (221)

Record 5
First-principles (GGA-PBE) data for NbFeAg2 after structural relaxation, as listed in Alexandria.

abc: 6.373 6.373 6.373
angles: 90.00 90.00 90.00
Atoms (fractional coordinates):
Nb  0.000  0.000  0.000
Nb  0.000  0.500  0.500
Nb  0.500  0.000  0.500
Nb  0.500  0.500  0.000
Fe  0.000  0.000  0.500
Fe  0.000  0.500  0.000
Fe  0.500  0.000  0.000
Fe  0.500  0.500  0.500
Ag  0.250  0.250  0.250
Ag  0.250  0.250  0.750
Ag  0.250  0.750  0.250
Ag  0.250  0.750  0.750
Ag  0.750  0.250  0.250
Ag  0.750  0.250  0.750
Ag  0.750  0.750  0.250
Ag  0.750  0.750  0.750

Excess energy over the best structure of this formula in the dataset (meV per atom): 0
Magnetic moment (μB per cell): 0.004
Energy of formation (eV/atom): 0.76
Total energy (eV per atom): -5.299
V (Å³ per cell): 258.79
SG: Fm-3m (225)

Record 6
First-principles (GGA-PBE) data for NbFe2Ag after structural relaxation, as listed in Alexandria.

abc: 6.071 6.071 6.071
angles: 90.00 90.00 90.00
Atoms (fractional coordinates):
Nb  0.000  0.000  0.000
Nb  0.000  0.500  0.500
Nb  0.500  0.000  0.500
Nb  0.500  0.500  0.000
Fe  0.250  0.250  0.250
Fe  0.250  0.250  0.750
Fe  0.250  0.750  0.250
Fe  0.250  0.750  0.750
Fe  0.750  0.250  0.250
Fe  0.750  0.250  0.750
Fe  0.750  0.750  0.250
Fe  0.750  0.750  0.750
Ag  0.000  0.000  0.500
Ag  0.000  0.500  0.000
Ag  0.500  0.000  0.000
Ag  0.500  0.500  0.500

Excess energy over the best structure of this formula in the dataset (meV per atom): 0
Magnetic moment (μB per cell): 0.000
Energy of formation (eV/atom): 0.41
Total energy (eV per atom): -7.051
V (Å³ per cell): 223.75
SG: Fm-3m (225)

Record 7
First-principles (GGA-PBE) data for NbFeAg3 after structural relaxation, as listed in Alexandria.

abc: 5.095 5.095 5.095
angles: 90.00 90.00 90.00
Atoms (fractional coordinates):
Nb  0.000  0.000  0.000
Fe  0.500  0.500  0.500
Ag  0.000  0.000  0.500
Ag  0.000  0.500  0.000
Ag  0.500  0.000  0.000

Excess energy over the best structure of this formula in the dataset (meV per atom): 311
Magnetic moment (μB per cell): 3.383
Energy of formation (eV/atom): 1.87
Total energy (eV per atom): -3.547
V (Å³ per cell): 132.27
SG: Pm-3m (221)

Record 8
First-principles (GGA-PBE) data for NbFe3Ag after structural relaxation, as listed in Alexandria.

abc: 4.625 4.625 4.625
angles: 90.00 90.00 90.00
Atoms (fractional coordinates):
Nb  0.000  0.000  0.000
Fe  0.000  0.500  0.500
Fe  0.500  0.000  0.500
Fe  0.500  0.500  0.000
Ag  0.500  0.500  0.500

Excess energy over the best structure of this formula in the dataset (meV per atom): 234
Magnetic moment (μB per cell): 7.096
Energy of formation (eV/atom): 1.67
Total energy (eV per atom): -5.989
V (Å³ per cell): 98.93
SG: Pm-3m (221)

Looking at Fermi-level density of states for the records above, in order, we have 0.784; 1.069; 0.795; 1.888; 1.317; 2.112; 1.750; 1.138 states/eV per atom.